# SiAs2WSe, relaxed, DFT PBE
# Uncorrected formation energy, eV per atom: 1.215
# Energy relative to the lowest polymorph listed for this composition, eV per atom: 0.395
# Crystal system: tetragonal
data_SiAs2WSe
_chemical_formula_sum 'Si1 As2 W1 Se1'
_space_group_name_H-M_alt 'P 4/m m m'
_space_group_IT_number 123
_space_group_name_Hall '-P 4 2'
_cell_length_a 4.6496
_cell_length_b 4.6496
_cell_length_c 4.7097
_cell_angle_alpha 90.00
_cell_angle_beta 90.00
_cell_angle_gamma 90.00
loop_
_atom_site_label
_atom_site_fract_x
_atom_site_fract_y
_atom_site_fract_z
Si1 0.0000 0.0000 0.0000
As1 0.0000 0.5000 0.0000
W1 0.5000 0.5000 0.5000
Se1 0.0000 0.0000 0.5000